No. 1
Material: Be2Si2B
Method: DFT, PBE-GGA
State: relaxed

Output
- D(E_F): 2.6 states/eV/cell
- Formation energy from raw total energies: 3.6 eV per formula unit
- Final energy: -0.3137 Ry per atom
- Polymorph energy (0 for the lowest one): 0 meV/atom

Geometry as CIF:
```
data_Be2Si2B
_chemical_formula_sum 'Be4 Si4 B2'
_space_group_name_H-M_alt 'P 4/m b m'
_space_group_IT_number 127
_space_group_name_Hall '-P 4 2ab'
_cell_length_a 5.5661
_cell_length_b 5.5661
_cell_length_c 3.6120
_cell_angle_alpha 90.00
_cell_angle_beta 90.00
_cell_angle_gamma 90.00
loop_
_atom_site_label
_atom_site_type_symbol
_atom_site_fract_x
_atom_site_fract_y
_atom_site_fract_z
Be1 Be 0.1376 0.3624 0.0000
Si1 Si 0.1617 0.6617 0.5000
B1 B 0.0000 0.0000 0.5000
```

No. 2
Material: TiSiAg2H
Method: DFT, PBE-GGA
State: relaxed

Output
- D(E_F): 2.3 states/eV/cell
- Final energy: -0.3132 Ry per atom

Geometry as CIF:
```
data_TiSiAg2H
_chemical_formula_sum 'Ti1 Si1 Ag2 H1'
_space_group_name_H-M_alt 'P 4/m m m'
_space_group_IT_number 123
_space_group_name_Hall '-P 4 2'
_cell_length_a 3.8638
_cell_length_b 3.8638
_cell_length_c 4.8049
_cell_angle_alpha 90.00
_cell_angle_beta 90.00
_cell_angle_gamma 90.00
loop_
_atom_site_label
_atom_site_type_symbol
_atom_site_fract_x
_atom_site_fract_y
_atom_site_fract_z
Ti1 Ti 0.0000 0.0000 0.0000
Si1 Si 0.5000 0.5000 0.0000
Ag1 Ag 0.0000 0.5000 0.5000
H1 H 0.5000 0.5000 0.5000
```

No. 3
Material: TcBSb2I
Method: DFT, PBE-GGA
State: relaxed

Output
- D(E_F): 3.0 states/eV/cell
- Formation energy from raw total energies: 6.7 eV per formula unit
- Final energy: -0.2958 Ry per atom
- Polymorph energy (0 for the lowest one): 12 meV/atom

Geometry as CIF:
```
data_TcBSb2I
_chemical_formula_sum 'Tc1 B1 Sb2 I1'
_space_group_name_H-M_alt 'P 4/m m m'
_space_group_IT_number 123
_space_group_name_Hall '-P 4 2'
_cell_length_a 5.0389
_cell_length_b 5.0389
_cell_length_c 5.9198
_cell_angle_alpha 90.00
_cell_angle_beta 90.00
_cell_angle_gamma 90.00
loop_
_atom_site_label
_atom_site_type_symbol
_atom_site_fract_x
_atom_site_fract_y
_atom_site_fract_z
Tc1 Tc 0.0000 0.0000 0.0000
B1 B 0.5000 0.5000 0.5000
Sb1 Sb 0.0000 0.5000 0.0000
I1 I 0.0000 0.0000 0.5000
```